The following is a PBE calculation of GaCuS after structural relaxation, from the Alexandria database.

## Properties
The calculation puts the final energy at -22.42 eV for the cell shown. The total magnetic moment comes out at 0.00 μB/f.u. The value obtained for the volume is 20.10 Å³/atom. The crystal system is monoclinic.

Cell lengths 2.693, 3.488, 13.219 Å; angles 97.58, 78.67, 90.00 degrees
Atoms (fractional coordinates):
Ga: 0.019 0.120 0.239
Ga: 0.981 0.880 0.761
S: 0.098 0.320 0.640
S: 0.902 0.680 0.360
Cu: 0.673 0.040 0.080
Cu: 0.327 0.960 0.920

***

The following is a PBE calculation of GaCuSbS2 after structural relaxation, from the Alexandria database.

## Properties
The calculation puts the final energy at -17.65 eV for the cell shown. The total magnetic moment comes out at 0.00 μB/f.u. The value obtained for the volume is 26.09 Å³/atom. The crystal system is tetragonal.

Cell lengths 5.205, 4.814, 5.205 Å; angles 90.00, 90.00, 90.00 degrees
Atoms (fractional coordinates):
Sb: 0.000 0.000 0.000
S: 0.000 0.000 0.500
S: 0.500 0.000 0.000
Cu: 0.000 0.500 0.000
Ga: 0.500 0.500 0.500

***

The following is a PBE calculation of GaCu2SbS4 after structural relaxation, from the Alexandria database.

## Properties
The calculation puts the final energy at -68.97 eV for the cell shown. The total magnetic moment comes out at 0.00 μB/f.u. The value obtained for the volume is 21.29 Å³/atom. The crystal system is orthorhombic.

Cell lengths 6.483, 6.611, 7.947 Å; angles 90.00, 90.00, 90.00 degrees
Atoms (fractional coordinates):
Ga: 0.501 0.818 0.500
Ga: 0.001 0.182 0.000
Cu: 0.502 0.324 0.249
Cu: 0.502 0.324 0.751
Cu: 0.002 0.676 0.749
Cu: 0.002 0.676 0.251
Sb: 0.000 0.167 0.500
Sb: 0.500 0.833 0.000
S: 0.361 0.205 0.000
S: 0.861 0.795 0.500
S: 0.424 0.157 0.500
S: 0.924 0.843 0.000
S: 0.356 0.646 0.724
S: 0.856 0.354 0.224
S: 0.856 0.354 0.776
S: 0.356 0.646 0.276

***

The following is a PBE calculation of Sm2GaCuS5 after structural relaxation, from the Alexandria database.

## Properties
The calculation puts the final energy at -98.57 eV for the cell shown. The total magnetic moment comes out at 0.00 μB/f.u. The value obtained for the volume is 20.70 Å³/atom. The crystal system is orthorhombic.

Cell lengths 3.853, 8.786, 11.281 Å; angles 90.00, 90.00, 102.67 degrees
Atoms (fractional coordinates):
Sm: 0.869 0.738 0.795
Sm: 0.114 0.227 0.677
Sm: 0.131 0.262 0.295
Sm: 0.886 0.773 0.177
Ga: 0.576 0.153 0.953
Ga: 0.424 0.847 0.453
Cu: 0.753 0.506 0.580
Cu: 0.247 0.494 0.080
S: 0.362 0.724 0.990
S: 0.684 0.368 0.834
S: 0.499 0.999 0.780
S: 0.295 0.590 0.655
S: 0.956 0.912 0.560
S: 0.638 0.276 0.490
S: 0.316 0.632 0.334
S: 0.501 0.001 0.280
S: 0.705 0.410 0.155
S: 0.044 0.088 0.060

***

The following is a PBE calculation of Tb2GaCuS5 after structural relaxation, from the Alexandria database.

## Properties
The calculation puts the final energy at -98.11 eV for the cell shown. The total magnetic moment comes out at 0.00 μB/f.u. The value obtained for the volume is 20.27 Å³/atom. The crystal system is orthorhombic.

Cell lengths 3.797, 9.038, 10.877 Å; angles 90.00, 90.00, 102.13 degrees
Atoms (fractional coordinates):
Tb: 0.883 0.766 0.793
Tb: 0.104 0.207 0.673
Tb: 0.117 0.234 0.293
Tb: 0.896 0.793 0.173
Ga: 0.593 0.186 0.966
Ga: 0.407 0.814 0.466
Cu: 0.746 0.491 0.608
Cu: 0.254 0.509 0.108
S: 0.359 0.718 0.988
S: 0.684 0.368 0.815
S: 0.503 0.006 0.784
S: 0.312 0.625 0.640
S: 0.959 0.919 0.556
S: 0.641 0.282 0.488
S: 0.316 0.632 0.315
S: 0.497 0.994 0.284
S: 0.688 0.375 0.140
S: 0.041 0.081 0.056

***

The following is a PBE calculation of GaCu2TcS after structural relaxation, from the Alexandria database.

## Properties
The calculation puts the final energy at -19.46 eV for the cell shown. The total magnetic moment comes out at 2.28 μB/f.u. The value obtained for the volume is 21.32 Å³/atom. The crystal system is tetragonal.

Cell lengths 4.684, 4.859, 4.684 Å; angles 90.00, 90.00, 90.00 degrees
Atoms (fractional coordinates):
S: 0.500 0.500 0.500
Cu: 0.000 0.000 0.500
Cu: 0.500 0.000 0.000
Tc: 0.000 0.000 0.000
Ga: 0.000 0.500 0.000

***

The following is a PBE calculation of TlGaCu2S4 after structural relaxation, from the Alexandria database.

## Properties
The calculation puts the final energy at -33.26 eV for the cell shown. The total magnetic moment comes out at 0.00 μB/f.u. The value obtained for the volume is 20.96 Å³/atom. The crystal system is tetragonal.

Cell lengths 5.564, 5.564, 6.694 Å; angles 114.55, 114.55, 90.01 degrees
Atoms (fractional coordinates):
Tl: 0.000 0.000 0.000
Ga: 0.500 0.500 0.000
Cu: 0.750 0.250 0.500
Cu: 0.250 0.750 0.500
S: 0.590 0.590 0.725
S: 0.410 0.865 0.275
S: 0.865 0.410 0.275
S: 0.135 0.135 0.725

***

The following is a PBE calculation of ZnGaCu2S4 after structural relaxation, from the Alexandria database.

## Properties
The calculation puts the final energy at -33.30 eV for the cell shown. The total magnetic moment comes out at 0.00 μB/f.u. The value obtained for the volume is 19.07 Å³/atom. The crystal system is tetragonal.

Cell lengths 5.310, 5.310, 6.588 Å; angles 113.78, 113.78, 90.00 degrees
Atoms (fractional coordinates):
Zn: 0.000 0.000 0.000
Ga: 0.500 0.500 0.000
Cu: 0.750 0.250 0.500
Cu: 0.250 0.750 0.500
S: 0.619 0.619 0.744
S: 0.381 0.875 0.256
S: 0.875 0.381 0.256
S: 0.125 0.125 0.744

***

Among the records above, which one has the highest final energy? GaCuSbS2

***

Number 6 is which compound? GaCu2TcS

***

Which of these has the lowest final energy? Sm2GaCuS5